{"formula": "HoErPbC", "functional": "PBE", "state": "relaxed", "sg": "P6_3mc", "lattice": [[-1.830, -3.114, 0.123], [2.820, 0.527, 2.198], [-9.768, 6.176, 11.055]], "species": ["Pb", "Pb", "C", "C", "Ho", "Ho", "Er", "Er"], "fractional_positions": [[0.667, 0.333, 0.250], [0.333, 0.667, 0.750], [0.000, 0.000, 0.500], [0.000, 0.000, 0.000], [0.667, 0.333, 0.918], [0.333, 0.667, 0.418], [0.333, 0.667, 0.082], [0.667, 0.333, 0.582]]}



{"formula": "HoErPbC", "functional": "PBE", "state": "relaxed", "sg": "P-3m1", "lattice": [[3.614, 0.000, 0.000], [-1.807, 3.130, 0.000], [0.000, 0.000, 15.993]], "species": ["C", "C", "Pb", "Pb", "Ho", "Ho", "Er", "Er"], "fractional_positions": [[0.000, 0.000, 0.500], [0.000, 0.000, 0.000], [0.667, 0.333, 0.250], [0.333, 0.667, 0.750], [0.667, 0.333, 0.582], [0.333, 0.667, 0.418], [0.333, 0.667, 0.082], [0.667, 0.333, 0.918]]}



{"formula": "HoErPbC", "functional": "PBE", "state": "relaxed", "sg": "P-6m2", "lattice": [[-2.299, 1.447, -2.384], [0.022, -3.572, 0.550], [-10.917, 1.715, 11.565]], "species": ["Ho", "Ho", "C", "C", "Pb", "Pb", "Er", "Er"], "fractional_positions": [[0.667, 0.333, 0.668], [0.667, 0.333, 0.332], [0.000, 0.000, 0.250], [0.000, 0.000, 0.750], [0.667, 0.333, 0.000], [0.333, 0.667, 0.500], [0.333, 0.667, 0.168], [0.333, 0.667, 0.832]]}



{"formula": "Ho3ErC2S2", "functional": "PBE", "state": "relaxed", "sg": "P3m1", "lattice": [[-2.408, -1.874, -2.056], [2.924, -1.714, 1.431], [-6.784, -2.804, 10.500]], "species": ["Ho", "Ho", "Ho", "C", "C", "Er", "S", "S"], "fractional_positions": [[0.333, 0.667, 0.396], [0.000, 0.000, 0.604], [0.333, 0.667, 0.104], [0.667, 0.333, 0.500], [0.667, 0.333, 0.999], [0.000, 0.000, 0.896], [0.333, 0.667, 0.751], [0.000, 0.000, 0.250]]}



{"formula": "HoErCSe", "functional": "PBE", "state": "relaxed", "sg": "P-3m1", "lattice": [[-3.709, 0.119, 0.383], [1.914, -2.936, 1.278], [1.396, 5.983, 11.653]], "species": ["C", "C", "Er", "Er", "Se", "Se", "Ho", "Ho"], "fractional_positions": [[0.000, 0.000, 0.000], [0.000, 0.000, 0.500], [0.333, 0.667, 0.100], [0.667, 0.333, 0.900], [0.667, 0.333, 0.250], [0.333, 0.667, 0.750], [0.667, 0.333, 0.600], [0.333, 0.667, 0.400]]}



{"formula": "HoErCSe", "functional": "PBE", "state": "relaxed", "sg": "P-6m2", "lattice": [[-0.308, 0.091, 3.716], [1.979, -2.702, -1.642], [10.812, 7.488, 0.712]], "species": ["Se", "Se", "Er", "Er", "C", "C", "Ho", "Ho"], "fractional_positions": [[0.333, 0.667, 0.500], [0.667, 0.333, 0.000], [0.667, 0.333, 0.650], [0.667, 0.333, 0.350], [0.000, 0.000, 0.250], [0.000, 0.000, 0.750], [0.333, 0.667, 0.850], [0.333, 0.667, 0.150]]}



{"formula": "HoEr3C2Se2", "functional": "PBE", "state": "relaxed", "sg": "P3m1", "lattice": [[-2.489, 2.745, -0.389], [0.031, -2.842, -2.409], [-8.446, -6.574, 7.646]], "species": ["Se", "Se", "C", "C", "Er", "Er", "Er", "Ho"], "fractional_positions": [[0.000, 0.000, 0.750], [0.333, 0.667, 0.250], [0.667, 0.333, 0.000], [0.667, 0.333, 0.500], [0.000, 0.000, 0.400], [0.333, 0.667, 0.600], [0.333, 0.667, 0.900], [0.000, 0.000, 0.100]]}



{"formula": "HoErCSe", "functional": "PBE", "state": "relaxed", "sg": "P6_3mc", "lattice": [[3.730, 0.000, 0.000], [-1.865, 3.231, 0.000], [0.000, 0.000, 13.173]], "species": ["Er", "Er", "C", "C", "Ho", "Ho", "Se", "Se"], "fractional_positions": [[0.667, 0.333, 0.900], [0.333, 0.667, 0.400], [0.000, 0.000, 0.500], [0.000, 0.000, 0.000], [0.667, 0.333, 0.600], [0.333, 0.667, 0.100], [0.333, 0.667, 0.750], [0.667, 0.333, 0.250]]}



Q: Which total magnetic moment values were calculated for the entries above? A: 0.03, 0.02, 0.02, 0.01, 0.01, 0.00, 0.01, 0.00, in μB per cell.
Q: Which DFT total energy values were calculated for the entries above? A: -6.035, -6.035, -6.035, -6.903, -6.633, -6.633, -6.635, -6.633, in eV per atom.